The following is a PBE calculation of an optimized crystal structure of DyAuSeO, from OQMD.

Cell lengths 5.719, 5.714, 11.111 Å; angles 90.00, 92.17, 90.00 degrees
Element x y z (fractional)
Se  0.699  0.542  0.714
Se  0.692  0.644  0.279
Se  0.301  0.042  0.286
Se  0.308  0.144  0.721
Au  0.316  0.096  0.503
Au  0.684  0.596  0.497
Au  0.003  0.842  0.729
Au  0.997  0.342  0.271
O  0.249  0.069  0.002
O  0.749  0.069  0.000
O  0.751  0.569  0.998
O  0.251  0.569  0.000
Dy  0.507  0.320  0.094
Dy  0.994  0.319  0.907
Dy  0.493  0.820  0.906
Dy  0.006  0.819  0.093

Properties
Crystal system: monoclinic
Calculated volume in Å³ per cell: 362.9
Symmetry: P2_1 (4)
Energy relative to the lowest polymorph listed for this composition in eV per atom: 0.0000
Total energy in eV per atom: -5.99